No. 1
## Sm4PIrI2 (PBE)

Data for a geometry-optimized Sm4PIrI2 structure.

Cell lengths 7.5486, 4.1173, 8.0878 Å; angles 90.00, 106.69, 90.00 degrees
Last column: nearest neighbours and their distance in Å.
Fractional positions:
Sm: 0.2153 0.0000 0.1834  2 Ir 2.77, 1 P 2.94
Sm: 0.2664 0.5000 0.8133  1 Ir 2.84, 2 P 2.85
Sm: 0.7336 0.5000 0.1867  1 Ir 2.84, 2 P 2.85
Sm: 0.7847 0.0000 0.8166  2 Ir 2.77, 1 P 2.94
P: 0.5000 0.0000 0.0000  6 Sm 2.85-2.94
Ir: 0.0000 0.5000 0.0000  6 Sm 2.77-2.84
I: 0.0000 0.0000 0.5000  6 Sm 3.40-3.43
I: 0.5000 0.5000 0.5000  6 Sm 3.48-3.50

Calculated values
Uncorrected formation energy   -1.107 eV per atom
E_tot   -5.638 eV/atom
D(E_F)   5.04 states/eV per cell

***

No. 2
## TePIrI2 (PBE)

Data for a geometry-optimized TePIrI2 structure.

Cell lengths 5.2493, 5.2493, 5.3820 Å; angles 90.00, 90.00, 90.00 degrees
Last column: nearest neighbours and their distance in Å.
Fractional positions:
Te: 0.0000 0.0000 0.0000  2 P 2.69
P: 0.0000 0.0000 0.5000  4 I 2.62, 2 Te 2.69
Ir: 0.5000 0.5000 0.0000  4 Te 3.71, 8 I 3.76
I: 0.0000 0.5000 0.5000  2 P 2.62
I: 0.5000 0.0000 0.5000  2 P 2.62

Calculated values
Uncorrected formation energy   1.354 eV per atom
E_tot   -2.749 eV/atom
D(E_F)   6.19 states/eV per cell

***

No. 3
## TePIrI2 (PBE)

Data for a geometry-optimized TePIrI2 structure.

Cell lengths 5.4069, 5.4069, 5.1388 Å; angles 90.00, 90.00, 90.00 degrees
Last column: nearest neighbours and their distance in Å.
Fractional positions:
Te: 0.0000 0.0000 0.0000  2 Ir 2.57
P: 0.5000 0.5000 0.0000  8 I 3.73, 4 Te 3.82
Ir: 0.0000 0.0000 0.5000  2 Te 2.57, 4 I 2.70
I: 0.0000 0.5000 0.5000  2 Ir 2.70
I: 0.5000 0.0000 0.5000  2 Ir 2.70

Calculated values
Uncorrected formation energy   0.907 eV per atom
E_tot   -3.195 eV/atom
D(E_F)   5.11 states/eV per cell

***

No. 4
## ZrP2IrI (PBE)

Data for a geometry-optimized ZrP2IrI structure.

Cell lengths 4.4793, 4.4793, 5.7115 Å; angles 90.00, 90.00, 90.00 degrees
Last column: nearest neighbours and their distance in Å.
Fractional positions:
Zr: 0.0000 0.0000 0.0000  2 Ir 2.86, 4 I 3.17
P: 0.0000 0.5000 0.5000  2 Ir 2.24
P: 0.5000 0.0000 0.5000  2 Ir 2.24
Ir: 0.0000 0.0000 0.5000  4 P 2.24
I: 0.5000 0.5000 0.0000  4 Zr 3.17

Calculated values
Uncorrected formation energy   0.243 eV per atom
E_tot   -5.713 eV/atom
D(E_F)   4.74 states/eV per cell

***

No. 5
## Pa2IrI2 (PBE)

Data for a geometry-optimized Pa2IrI2 structure.

Cell lengths 4.1347, 4.1347, 12.1369 Å; angles 100.91, 100.91, 59.98 degrees
Last column: nearest neighbours and their distance in Å.
Fractional positions:
Pa: 0.2119 0.2119 0.1224  3 Ir 2.79
Pa: 0.7881 0.7881 0.8776  3 Ir 2.79
Ir: 0.5000 0.5000 0.0000  6 Pa 2.79
I: 0.0509 0.0509 0.6872  3 Pa 3.28
I: 0.9491 0.9491 0.3128  3 Pa 3.28

Calculated values
Uncorrected formation energy   -0.816 eV per atom
E_tot   -7.007 eV/atom
D(E_F)   7.88 states/eV per cell

***

No. 6
## PmPaIrI (PBE)

Data for a geometry-optimized PmPaIrI structure.

Cell lengths 8.5212, 8.5212, 8.5212 Å; angles 27.63, 27.63, 27.63 degrees
Last column: nearest neighbours and their distance in Å.
Fractional positions:
Pm: 0.0000 0.0000 0.0000  3 Ir 2.90
Pa: 0.7921 0.7921 0.7921  3 Ir 2.72
Ir: 0.4028 0.4028 0.4028  3 Pa 2.72, 3 Pm 2.90
I: 0.2281 0.2281 0.2281  3 Pa 3.45, 3 Pm 3.49

Calculated values
Uncorrected formation energy   -0.757 eV per atom
E_tot   -6.921 eV/atom
D(E_F)   5.46 states/eV per cell

***

No. 7
## Ir2Pb2I (PBE)

Data for a geometry-optimized Ir2Pb2I structure.

Cell lengths 9.6421, 9.6421, 9.6421 Å; angles 157.47, 157.47, 32.08 degrees
Last column: nearest neighbours and their distance in Å.
Fractional positions:
Ir: 0.2500 0.7500 0.5000  4 Ir 2.66, 4 Pb 2.94
Ir: 0.7500 0.2500 0.5000  4 Ir 2.66, 4 Pb 2.94
Pb: 0.1280 0.1280 0.0000  4 Ir 2.94
Pb: 0.8720 0.8720 0.0000  4 Ir 2.94
I: 0.5000 0.5000 0.0000  8 Pb 3.57, 4 I 3.77

Calculated values
Uncorrected formation energy   0.201 eV per atom
E_tot   -5.137 eV/atom
D(E_F)   3.42 states/eV per cell

***

No. 8
## IrPbI3 (PBE)

Data for a geometry-optimized IrPbI3 structure.

Cell lengths 5.4317, 5.4317, 5.4317 Å; angles 90.00, 90.00, 90.00 degrees
Last column: nearest neighbours and their distance in Å.
Fractional positions:
Ir: 0.0000 0.0000 0.0000  6 I 2.72
Pb: 0.5000 0.5000 0.5000  12 I 3.84
I: 0.0000 0.0000 0.5000  2 Ir 2.72
I: 0.0000 0.5000 0.0000  2 Ir 2.72
I: 0.5000 0.0000 0.0000  2 Ir 2.72

Calculated values
Uncorrected formation energy   0.187 eV per atom
E_tot   -3.257 eV/atom
D(E_F)   2.10 states/eV per cell

***

No. 9
## Ir2PbI2 (PBE)

Data for a geometry-optimized Ir2PbI2 structure.

Cell lengths 6.4199, 6.4199, 6.4199 Å; angles 136.80, 136.80, 62.75 degrees
Last column: nearest neighbours and their distance in Å.
Fractional positions:
Ir: 0.1146 0.1146 0.0000  1 Ir 2.51, 4 I 2.79
Ir: 0.8854 0.8854 0.0000  1 Ir 2.51, 4 I 2.79
Pb: 0.5000 0.5000 0.0000  8 Ir 3.57, 8 I 3.62
I: 0.2500 0.7500 0.5000  4 Ir 2.79
I: 0.7500 0.2500 0.5000  4 Ir 2.79

Calculated values
Uncorrected formation energy   0.803 eV per atom
E_tot   -4.103 eV/atom
D(E_F)   4.39 states/eV per cell

***

No. 10
## IrPb2I (PBE)

Data for a geometry-optimized IrPb2I structure.

Cell lengths 8.0985, 8.0985, 8.0985 Å; angles 128.45, 128.45, 75.90 degrees
Last column: nearest neighbours and their distance in Å.
Fractional positions:
Ir: 0.0000 0.0000 0.0000  4 Pb 2.63
Ir: 0.7500 0.2500 0.5000  4 Pb 2.63
Pb: 0.0333 0.6250 0.9083  2 Ir 2.63
Pb: 0.3750 0.2833 0.4083  2 Ir 2.63
Pb: 0.7167 0.1250 0.0917  2 Ir 2.63
Pb: 0.8750 0.9667 0.5917  2 Ir 2.63
I: 0.2500 0.7500 0.5000  4 Pb 3.38
I: 0.5000 0.5000 0.0000  4 Pb 3.38

Calculated values
Uncorrected formation energy   0.267 eV per atom
E_tot   -4.189 eV/atom
D(E_F)   0.60 states/eV per cell

***

No. 11
## Ir3PbI (PBE)

Data for a geometry-optimized Ir3PbI structure.

Cell lengths 4.9243, 4.9243, 4.9243 Å; angles 90.00, 90.00, 90.00 degrees
Last column: nearest neighbours and their distance in Å.
Fractional positions:
Ir: 0.0000 0.0000 0.5000  2 I 2.46
Ir: 0.0000 0.5000 0.0000  2 I 2.46
Ir: 0.5000 0.0000 0.0000  2 I 2.46
Pb: 0.5000 0.5000 0.5000  12 Ir 3.48
I: 0.0000 0.0000 0.0000  6 Ir 2.46

Calculated values
Uncorrected formation energy   1.661 eV per atom
E_tot   -4.707 eV/atom
D(E_F)   7.03 states/eV per cell

***

No. 12
## Ir2PbI (PBE)

Data for a geometry-optimized Ir2PbI structure.

Cell lengths 8.7636, 8.7636, 8.7636 Å; angles 147.64, 147.64, 46.41 degrees
Last column: nearest neighbours and their distance in Å.
Fractional positions:
Ir: 0.0676 0.6250 0.9426  2 I 2.54, 2 Pb 2.79
Ir: 0.3750 0.3176 0.4426  2 I 2.54, 2 Pb 2.79
Ir: 0.6824 0.1250 0.0574  2 I 2.54, 2 Pb 2.79
Ir: 0.8750 0.9324 0.5574  2 I 2.54, 2 Pb 2.79
Pb: 0.2500 0.7500 0.5000  4 Ir 2.79
Pb: 0.5000 0.5000 0.0000  4 Ir 2.79
I: 0.0000 0.0000 0.0000  4 Ir 2.54
I: 0.7500 0.2500 0.5000  4 Ir 2.54

Calculated values
Uncorrected formation energy   0.832 eV per atom
E_tot   -4.913 eV/atom
D(E_F)   4.44 states/eV per cell